Entry A
Computed, not measured: a relaxed structure of MnSiCl2 at the PBE level of DFT.

Volume: 336 Å³/cell

a = 6.0527 Å, b = 7.4234 Å, c = 7.4878 Å
α = 90.00°, β = 90.00°, γ = 90.00°
Closest atoms and distances in Å follow each position.
Space group Fmmm (No. 69)
Inequivalent atoms, fractional coordinates:
Mn  0.0000  0.0000  0.0000  4 Cl 2.64
Si  0.0000  0.0000  0.5000  4 Cl 2.64
Cl  0.0000  0.2500  0.2500  2 Mn 2.64, 2 Si 2.64

---

Entry B
Computed, not measured: a relaxed structure of MnSiCl2 at the PBE level of DFT.

Volume: 77 Å³/cell

a = 3.1569 Å, b = 4.2666 Å, c = 5.6885 Å
α = 90.00°, β = 90.00°, γ = 90.00°
Closest atoms and distances in Å follow each position.
Space group Pmmm (No. 47)
Inequivalent atoms, fractional coordinates:
Mn  0.0000  0.0000  0.0000  4 Cl 2.65
Si  0.5000  0.0000  0.5000  4 Cl 2.65
Cl  0.0000  0.5000  0.5000  4 Si 2.65
Cl  0.5000  0.5000  0.0000  4 Mn 2.65

---

Energies relative to the minimum, kJ/mol of atoms: entry A 0.0; entry B 3.0

---

Entry A
Computed, not measured: a relaxed structure of MnSiCl2 at the PBE level of DFT.

Volume: 347 Å³/cell

a = 6.0608 Å, b = 6.0608 Å, c = 9.4427 Å
α = 90.00°, β = 90.00°, γ = 90.00°
Closest atoms and distances in Å follow each position.
Space group I-42d (No. 122)
Inequivalent atoms, fractional coordinates:
Mn  0.0000  0.0000  0.0000  4 Cl 2.17
Si  0.0000  0.0000  0.5000  4 Cl 2.78
Cl  0.1673  0.2500  0.1250  2 Mn 2.17

---

Entry B
Computed, not measured: a relaxed structure of MnSiCl2 at the PBE level of DFT.

Volume: 153 Å³/cell

a = 4.4206 Å, b = 4.4206 Å, c = 7.8309 Å
α = 90.00°, β = 90.00°, γ = 90.00°
Closest atoms and distances in Å follow each position.
Space group I4/mmm (No. 139)
Inequivalent atoms, fractional coordinates:
Mn  0.0000  0.0000  0.0000  8 Cl 2.95, 4 Si 3.13
Si  0.0000  0.0000  0.5000  8 Cl 2.95, 4 Mn 3.13
Cl  0.0000  0.5000  0.2500  4 Si 2.95, 4 Mn 2.95, 4 Cl 3.13

---

Entry C
Computed, not measured: a relaxed structure of MnSiCl2 at the PBE level of DFT.

Volume: 208 Å³/cell

a = 3.0049 Å, b = 3.0049 Å, c = 26.5608 Å
α = 90.00°, β = 90.00°, γ = 120.00°
Closest atoms and distances in Å follow each position.
Space group R-3m (No. 166, hexagonal axes)
Inequivalent atoms, fractional coordinates:
Mn  0.0000  0.0000  0.0000  2 Cl 2.13
Si  0.0000  0.0000  0.5000  6 Cl 2.88, 6 Si 3.00
Cl  0.0000  0.0000  0.0801  1 Mn 2.13

---

Entry D
Computed, not measured: a relaxed structure of MnSiCl2 at the PBE level of DFT.

Volume: 169 Å³/cell

a = 6.0685 Å, b = 7.5069 Å, c = 3.7005 Å
α = 90.00°, β = 90.00°, γ = 90.00°
Closest atoms and distances in Å follow each position.
Space group Cmmm (No. 65)
Inequivalent atoms, fractional coordinates:
Mn  0.0000  0.0000  0.0000  4 Cl 2.57
Si  0.0000  0.5000  0.0000  4 Cl 2.71
Cl  0.0000  0.2369  0.5000  2 Mn 2.57, 2 Si 2.71

---

Energies relative to the minimum, kJ/mol of atoms: entry A 60.2; entry B 27.4; entry C 42.5; entry D 0.0

---

Entry A
Computed, not measured: a relaxed structure of MnSiCl2 at the PBE level of DFT.

Volume: 295 Å³/cell

a = 6.6562 Å, b = 6.6562 Å, c = 6.6562 Å
α = 90.00°, β = 90.00°, γ = 90.00°
Closest atoms and distances in Å follow each position.
Space group F-43m (No. 216)
Inequivalent atoms, fractional coordinates:
Mn  0.0000  0.0000  0.0000  4 Cl 2.88, 4 Si 2.88
Si  0.2500  0.2500  0.7500  4 Cl 2.88, 4 Mn 2.88
Cl  0.0000  0.0000  0.5000  4 Si 2.88, 4 Cl 2.88
Cl  0.2500  0.2500  0.2500  4 Cl 2.88, 4 Mn 2.88

---

Entry B
Computed, not measured: a relaxed structure of MnSiCl2 at the PBE level of DFT.

Volume: 266 Å³/cell

a = 3.1017 Å, b = 3.1017 Å, c = 31.9417 Å
α = 90.00°, β = 90.00°, γ = 120.00°
Closest atoms and distances in Å follow each position.
Space group R-3m (No. 166, hexagonal axes)
Inequivalent atoms, fractional coordinates:
Mn  0.0000  0.0000  0.0000  6 Cl 2.30
Si  0.0000  0.0000  0.5000  6 Si 3.10
Cl  0.0000  0.0000  0.3785  3 Mn 2.30

---

Entry C
Computed, not measured: a relaxed structure of MnSiCl2 at the PBE level of DFT.

Volume: 293 Å³/cell

a = 6.6410 Å, b = 6.6410 Å, c = 6.6410 Å
α = 90.00°, β = 90.00°, γ = 90.00°
Closest atoms and distances in Å follow each position.
Space group Fm-3m (No. 225)
Inequivalent atoms, fractional coordinates:
Mn  0.0000  0.0000  0.0000  8 Cl 2.88
Si  0.0000  0.0000  0.5000  8 Cl 2.88
Cl  0.2500  0.2500  0.2500  4 Si 2.88, 4 Mn 2.88

---

Entry D
Computed, not measured: a relaxed structure of MnSiCl2 at the PBE level of DFT.

Volume: 167 Å³/cell

a = 3.7292 Å, b = 3.7292 Å, c = 11.9898 Å
α = 90.00°, β = 90.00°, γ = 90.00°
Closest atoms and distances in Å follow each position.
Space group I-4m2 (No. 119)
Inequivalent atoms, fractional coordinates:
Mn  0.0000  0.0000  0.0000  4 Cl 2.64
Si  0.0000  0.5000  0.7500  4 Cl 2.64
Cl  0.0000  0.0000  0.5000  4 Mn 2.64
Cl  0.0000  0.5000  0.2500  4 Si 2.64

---

Energies relative to the minimum, kJ/mol of atoms: entry A 23.3; entry B 0.0; entry C 9.1; entry D 1.4

---

Entry A
Computed, not measured: a relaxed structure of MnSiCl2 at the PBE level of DFT.

Volume: 177 Å³/cell

a = 3.2095 Å, b = 6.0418 Å, c = 9.1388 Å
α = 90.00°, β = 90.00°, γ = 90.00°
Closest atoms and distances in Å follow each position.
Space group Cmm2 (No. 35)
Inequivalent atoms, fractional coordinates:
Mn  0.0000  0.0000  0.0000  2 Cl 2.34, 2 Si 2.46
Si  0.0000  0.5000  0.7957  2 Cl 2.44, 2 Mn 2.46
Cl  0.0000  0.0000  0.5948  2 Si 2.44
Cl  0.0000  0.5000  0.1857  2 Mn 2.34

---

Entry B
Computed, not measured: a relaxed structure of MnSiCl2 at the PBE level of DFT.

Volume: 219 Å³/cell

a = 3.2360 Å, b = 4.8595 Å, c = 13.9110 Å
α = 90.00°, β = 90.00°, γ = 90.00°
Closest atoms and distances in Å follow each position.
Space group Imm2 (No. 44)
Inequivalent atoms, fractional coordinates:
Mn  0.0000  0.0000  0.0000  2 Cl 2.36, 2 Si 2.53
Si  0.0000  0.5000  0.3602  2 Cl 2.49, 2 Mn 2.53
Cl  0.0000  0.0000  0.3996  2 Si 2.49
Cl  0.0000  0.5000  0.6235  2 Mn 2.36

---

Entry C
Computed, not measured: a relaxed structure of MnSiCl2 at the PBE level of DFT.

Volume: 92 Å³/cell

a = 3.2914 Å, b = 3.2914 Å, c = 8.4893 Å
α = 90.00°, β = 90.00°, γ = 90.00°
Closest atoms and distances in Å follow each position.
Space group P4mm (No. 99)
Inequivalent atoms, fractional coordinates:
Mn  0.0000  0.0000  0.0000  1 Cl 2.14
Si  0.5000  0.5000  0.8860  1 Cl 2.05
Cl  0.0000  0.0000  0.2517  1 Mn 2.14
Cl  0.5000  0.5000  0.6446  1 Si 2.05

---

Entry D
Computed, not measured: a relaxed structure of MnSiCl2 at the PBE level of DFT.

Volume: 172 Å³/cell

a = 3.2322 Å, b = 5.9402 Å, c = 8.9695 Å
α = 90.00°, β = 90.00°, γ = 90.00°
Closest atoms and distances in Å follow each position.
Space group Cmmm (No. 65)
Inequivalent atoms, fractional coordinates:
Mn  0.0000  0.0000  0.0000  4 Cl 2.41
Si  0.0000  0.0000  0.5000  4 Cl 3.14, 6 Si 3.23-3.38
Cl  0.0000  0.5000  0.1994  2 Mn 2.41

---

Energies relative to the minimum, kJ/mol of atoms: entry A 23.7; entry B 22.1; entry C 0.0; entry D 40.7

---

Entry A
Computed, not measured: a relaxed structure of MnSnCl6 at the PBE level of DFT.

Volume: 620 Å³/cell

a = 6.4075 Å, b = 6.4075 Å, c = 17.4420 Å
α = 90.00°, β = 90.00°, γ = 120.00°
Closest atoms and distances in Å follow each position.
Space group R-3 (No. 148, hexagonal axes)
Inequivalent atoms, fractional coordinates:
Mn  0.0000  0.0000  0.0000  6 Cl 2.30
Sn  0.0000  0.0000  0.5000  6 Cl 2.81
Cl  0.0114  0.7114  0.9244  1 Mn 2.30

---

Entry B
Computed, not measured: a relaxed structure of MnSnCl6 at the PBE level of DFT.

Volume: 459 Å³/cell

a = 6.2351 Å, b = 12.4143 Å, c = 6.2370 Å
α = 90.00°, β = 108.12°, γ = 90.00°
Closest atoms and distances in Å follow each position.
Space group C2/m (No. 12)
Inequivalent atoms, fractional coordinates:
Mn  0.0000  0.0000  0.0000  6 Cl 2.52-2.58
Sn  0.0000  0.5000  0.5000  6 Cl 2.47-2.49
Cl  0.2451  0.5000  0.2557  1 Sn 2.47, 1 Mn 2.58
Cl  0.2475  0.3622  0.7478  1 Sn 2.49, 1 Mn 2.52

---

Energies relative to the minimum, kJ/mol of atoms: entry A 7.9; entry B 0.0

---

Entry A
Computed, not measured: a relaxed structure of MnSn2Cl at the PBE level of DFT.

Volume: 508 Å³/cell

a = 5.7779 Å, b = 5.7779 Å, c = 15.2196 Å
α = 90.00°, β = 90.00°, γ = 90.00°
Closest atoms and distances in Å follow each position.
Space group I-42d (No. 122)
Inequivalent atoms, fractional coordinates:
Mn  0.0000  0.0000  0.0000  4 Sn 2.61
Sn  0.1804  0.2500  0.1250  2 Mn 2.61
Cl  0.0000  0.0000  0.5000  4 Sn 3.02

---

Entry B
Computed, not measured: a relaxed structure of MnSn2Cl at the PBE level of DFT.

Volume: 387 Å³/cell

a = 7.2849 Å, b = 7.2849 Å, c = 7.2849 Å
α = 90.00°, β = 90.00°, γ = 90.00°
Closest atoms and distances in Å follow each position.
Space group Fm-3m (No. 225)
Inequivalent atoms, fractional coordinates:
Mn  0.0000  0.0000  0.0000  8 Sn 3.15
Sn  0.2500  0.2500  0.2500  4 Cl 3.15, 4 Mn 3.15
Cl  0.0000  0.0000  0.5000  8 Sn 3.15

---

Energies relative to the minimum, kJ/mol of atoms: entry A 7.5; entry B 0.0

---

Entry A
Computed, not measured: a relaxed structure of MnSn3Cl at the PBE level of DFT.

Volume: 122 Å³/cell

a = 4.9560 Å, b = 4.9560 Å, c = 4.9560 Å
α = 90.00°, β = 90.00°, γ = 90.00°
Closest atoms and distances in Å follow each position.
Space group Pm-3m (No. 221)
Inequivalent atoms, fractional coordinates:
Mn  0.0000  0.0000  0.0000  6 Sn 2.48
Sn  0.0000  0.0000  0.5000  2 Mn 2.48
Cl  0.5000  0.5000  0.5000  12 Sn 3.50

---

Entry B
Computed, not measured: a relaxed structure of MnSn3Cl at the PBE level of DFT.

Volume: 152 Å³/cell

a = 5.3318 Å, b = 5.3318 Å, c = 5.3318 Å
α = 90.00°, β = 90.00°, γ = 90.00°
Closest atoms and distances in Å follow each position.
Space group Pm-3m (No. 221)
Inequivalent atoms, fractional coordinates:
Mn  0.0000  0.0000  0.0000  12 Sn 3.77
Sn  0.0000  0.5000  0.5000  2 Cl 2.67
Cl  0.5000  0.5000  0.5000  6 Sn 2.67

---

Energies relative to the minimum, kJ/mol of atoms: entry A 0.0; entry B 92.6

---

Entry A
Computed, not measured: a relaxed structure of SrMn2Cl at the PBE level of DFT.

Volume: 98 Å³/cell

a = 3.3695 Å, b = 3.3695 Å, c = 8.6510 Å
α = 90.00°, β = 90.00°, γ = 90.00°
Closest atoms and distances in Å follow each position.
Space group P4/mmm (No. 123)
Inequivalent atoms, fractional coordinates:
Sr  0.0000  0.0000  0.0000  4 Sr 3.37, 8 Mn 3.44
Mn  0.5000  0.5000  0.2864  4 Cl 3.01, 4 Mn 3.37
Cl  0.0000  0.0000  0.5000  8 Mn 3.01, 4 Cl 3.37

---

Entry B
Computed, not measured: a relaxed structure of SrMn2Cl at the PBE level of DFT.

Volume: 220 Å³/cell

a = 5.5355 Å, b = 11.0462 Å, c = 3.6022 Å
α = 90.00°, β = 90.00°, γ = 90.00°
Closest atoms and distances in Å follow each position.
Space group Cmmm (No. 65)
Inequivalent atoms, fractional coordinates:
Sr  0.0000  0.0000  0.0000  2 Cl 2.77
Mn  0.2500  0.2500  0.5000  2 Mn 2.77
Cl  0.0000  0.5000  0.0000  2 Sr 2.77

---

Entry C
Computed, not measured: a relaxed structure of SrMn2Cl at the PBE level of DFT.

Volume: 116 Å³/cell

a = 3.6783 Å, b = 3.6783 Å, c = 8.5996 Å
α = 90.00°, β = 90.00°, γ = 90.00°
Closest atoms and distances in Å follow each position.
Space group P4mm (No. 99)
Inequivalent atoms, fractional coordinates:
Sr  0.0000  0.0000  0.0000  4 Cl 2.96, 1 Mn 3.29
Mn  0.0000  0.0000  0.6177  4 Mn 2.74
Mn  0.5000  0.5000  0.7190  4 Mn 2.74
Cl  0.5000  0.5000  0.1649  4 Sr 2.96

---

Energies relative to the minimum, kJ/mol of atoms: entry A 43.6; entry B 32.2; entry C 0.0

---

Entry A
Computed, not measured: a relaxed structure of SrMn2Cl at the PBE level of DFT.

Volume: 206 Å³/cell

a = 4.0035 Å, b = 4.0035 Å, c = 12.8722 Å
α = 90.00°, β = 90.00°, γ = 90.00°
Closest atoms and distances in Å follow each position.
Space group I4/mmm (No. 139)
Inequivalent atoms, fractional coordinates:
Sr  0.0000  0.0000  0.0000  4 Cl 2.83
Mn  0.0000  0.5000  0.2500  4 Mn 2.83
Cl  0.0000  0.0000  0.5000  4 Sr 2.83

---

Entry B
Computed, not measured: a relaxed structure of SrMn2Cl at the PBE level of DFT.

Volume: 295 Å³/cell

a = 3.5058 Å, b = 3.5058 Å, c = 27.7487 Å
α = 90.00°, β = 90.00°, γ = 120.00°
Closest atoms and distances in Å follow each position.
Space group R-3m (No. 166, hexagonal axes)
Inequivalent atoms, fractional coordinates:
Sr  0.0000  0.0000  0.0000  6 Mn 3.37, 6 Sr 3.51
Mn  0.0000  0.0000  0.2364  3 Cl 2.80
Cl  0.0000  0.0000  0.5000  6 Mn 2.80

---

Entry C
Computed, not measured: a relaxed structure of SrMn2Cl at the PBE level of DFT.

Volume: 200 Å³/cell

a = 3.3894 Å, b = 6.1485 Å, c = 9.6145 Å
α = 90.00°, β = 90.00°, γ = 90.00°
Closest atoms and distances in Å follow each position.
Space group Imm2 (No. 44)
Inequivalent atoms, fractional coordinates:
Sr  0.0000  0.0000  0.0000  2 Cl 3.00
Mn  0.0000  0.0000  0.4498  2 Cl 2.51, 2 Mn 2.69
Mn  0.0000  0.5000  0.1670  2 Mn 2.69
Cl  0.0000  0.5000  0.7572  2 Mn 2.51

---

Entry D
Computed, not measured: a relaxed structure of SrMn2Cl at the PBE level of DFT.

Volume: 188 Å³/cell

a = 3.7482 Å, b = 4.2268 Å, c = 11.8782 Å
α = 90.00°, β = 90.00°, γ = 90.00°
Closest atoms and distances in Å follow each position.
Space group Immm (No. 71)
Inequivalent atoms, fractional coordinates:
Sr  0.0000  0.0000  0.0000  4 Cl 2.82
Mn  0.0000  0.0000  0.2784  1 Cl 2.63, 4 Mn 2.90
Cl  0.0000  0.0000  0.5000  2 Mn 2.63, 4 Sr 2.82

---

Energies relative to the minimum, kJ/mol of atoms: entry A 11.8; entry B 45.1; entry C 28.0; entry D 0.0

---

Entry A
Computed, not measured: a relaxed structure of SrMn2Cl at the PBE level of DFT.

Volume: 200 Å³/cell

a = 3.9946 Å, b = 5.5608 Å, c = 9.0027 Å
α = 90.00°, β = 90.00°, γ = 90.00°
Closest atoms and distances in Å follow each position.
Space group Cmmm (No. 65)
Inequivalent atoms, fractional coordinates:
Sr  0.0000  0.0000  0.0000  4 Mn 3.27, 4 Sr 3.42
Mn  0.0000  0.5000  0.2883  2 Cl 2.76
Cl  0.0000  0.0000  0.5000  4 Mn 2.76

---

Entry B
Computed, not measured: a relaxed structure of SrMn2Cl at the PBE level of DFT.

Volume: 195 Å³/cell

a = 5.1696 Å, b = 5.1696 Å, c = 7.3006 Å
α = 90.00°, β = 90.00°, γ = 90.00°
Closest atoms and distances in Å follow each position.
Space group I-4m2 (No. 119)
Inequivalent atoms, fractional coordinates:
Sr  0.0000  0.0000  0.0000  4 Mn 3.16, 4 Cl 3.16
Mn  0.0000  0.0000  0.5000  4 Cl 3.16, 4 Mn 3.16
Mn  0.0000  0.5000  0.2500  4 Mn 3.16, 4 Sr 3.16
Cl  0.0000  0.5000  0.7500  4 Mn 3.16, 4 Sr 3.16

---

Energies relative to the minimum, kJ/mol of atoms: entry A 4.3; entry B 0.0